# PmMnSe3 PBE-GGA relaxed
data_PmMnSe3
_chemical_formula_sum 'Pm4 Mn4 Se12'
_symmetry_space_group_name_H-M 'P 1'
_symmetry_Int_Tables_number 1
_cell_length_a 12.1752
_cell_length_b 3.9644
_cell_length_c 9.7130
_cell_angle_alpha 90.00
_cell_angle_beta 90.00
_cell_angle_gamma 90.00
loop_
_symmetry_equiv_pos_as_xyz
'x,y,z'
loop_
_atom_site_label
_atom_site_type_symbol
_atom_site_fract_x
_atom_site_fract_y
_atom_site_fract_z
Pm1 Pm 0.1843 0.2500 0.0158
Pm2 Pm 0.3157 0.7500 0.5158
Pm3 Pm 0.6843 0.2500 0.4842
Pm4 Pm 0.8157 0.7500 0.9842
Mn1 Mn 0.0284 0.7500 0.6765
Mn2 Mn 0.4716 0.2500 0.1765
Mn3 Mn 0.5284 0.7500 0.8235
Mn4 Mn 0.9716 0.2500 0.3235
Se1 Se 0.0356 0.7500 0.1581
Se2 Se 0.1164 0.2500 0.5208
Se3 Se 0.2083 0.7500 0.7962
Se4 Se 0.2917 0.2500 0.2962
Se5 Se 0.3836 0.7500 0.0208
Se6 Se 0.4644 0.2500 0.6581
Se7 Se 0.5356 0.7500 0.3419
Se8 Se 0.6164 0.2500 0.9792
Se9 Se 0.7083 0.7500 0.7038
Se10 Se 0.7917 0.2500 0.2038
Se11 Se 0.8836 0.7500 0.4792
Se12 Se 0.9644 0.2500 0.8419
# - Distance to the lowest polymorph of the same formula: 0 meV/atom
# - Magnetization: 4.0 μB/f.u.
# - Raw formation energy: -1.108 eV per atom
# - Energy: -119.6 eV for the cell shown